[1]
Entry from Alexandria: a relaxed structure of SrTePd3 (PBE).

Cell and atoms, written as POSCAR:
```
SrTePd3
1.0
5.0463 0.0000 0.0000
0.0000 5.0463 0.0000
0.0000 0.0000 5.0463
Sr Te Pd
1 1 3
Cartesian
0.0000 0.0000 0.0000
2.5231 2.5231 2.5231
0.0000 2.5231 2.5231
2.5231 0.0000 2.5231
2.5231 2.5231 0.0000
```

## Properties
Relative energy among the computed polymorphs = 161.1 meV per atom
Energy relative to the elements, uncorrected = -0.438 eV/atom
Magnetization = 0.00 μB per cell
E_tot = -22.6 eV per formula unit

[2]
Entry from Alexandria: a relaxed structure of SrTe2Pd4 (PBE).

Cell and atoms, written as POSCAR:
```
SrTe2Pd4
1.0
5.1268 0.0000 0.0000
0.0000 5.1268 0.0000
0.0000 0.0000 14.3871
Sr Te Pd
2 4 8
Cartesian
0.0000 0.0000 0.0000
2.5634 2.5634 7.1935
0.0000 0.0000 5.5612
0.0000 0.0000 8.8259
2.5634 2.5634 1.6323
2.5634 2.5634 12.7547
0.0000 0.0000 3.0234
0.0000 0.0000 11.3637
0.0000 2.5634 0.0000
0.0000 2.5634 7.1935
2.5634 0.0000 0.0000
2.5634 0.0000 7.1935
2.5634 2.5634 4.1702
2.5634 2.5634 10.2169
```

## Properties
Relative energy among the computed polymorphs = 990.4 meV per atom
Energy relative to the elements, uncorrected = 0.340 eV/atom
Magnetization = 0.00 μB per cell
E_tot = -26.4 eV per formula unit

[3]
Entry from Alexandria: a relaxed structure of SrTePd (PBE).

Cell and atoms, written as POSCAR:
```
SrTePd
1.0
4.7109 0.0000 0.0000
-1.3345 5.6319 0.0000
-0.6420 -0.2853 6.7675
Sr Te Pd
2 2 2
Cartesian
0.0000 0.0000 0.0000
0.3314 2.8045 3.2035
1.4821 2.2525 6.6051
2.7369 5.1463 3.4586
1.7281 0.4255 4.5716
2.5336 1.0266 1.9188
```

## Properties
Energy relative to the elements, uncorrected = -1.024 eV/atom
Magnetization = 0.00 μB per cell
E_tot = -13.1 eV per formula unit

[4]
Entry from Alexandria: a relaxed structure of Sr2TePd6 (PBE).

Cell and atoms, written as POSCAR:
```
Sr2TePd6
1.0
5.1605 -2.9414 0.0000
5.1605 2.9414 0.0000
-1.6058 0.0000 6.1672
Sr Te Pd
2 1 6
Cartesian
0.8842 0.0000 2.0145
7.8311 0.0000 4.1527
4.3577 0.0000 3.0836
3.3889 1.5322 1.1045
2.6125 0.0000 5.0797
5.3265 1.5322 5.0627
3.3889 -1.5322 1.1045
6.1028 0.0000 1.0875
5.3265 -1.5322 5.0627
```

## Properties
Energy relative to the elements, uncorrected = -0.558 eV/atom
Magnetization = 0.00 μB per cell
E_tot = -42.7 eV per formula unit

[5]
Entry from Alexandria: a relaxed structure of SrTe2Pd2 (PBE).

Cell and atoms, written as POSCAR:
```
SrTe2Pd2
1.0
6.5060 0.0000 0.0000
3.2426 5.8637 0.0000
3.2457 0.0219 6.7584
Sr Te Pd
2 4 4
Cartesian
2.5575 1.4681 1.6901
10.4367 4.4175 5.0683
4.4689 0.7229 5.5220
5.2666 3.6403 2.1463
7.7277 2.2453 4.6121
8.5253 5.1627 1.2364
7.2361 4.0701 6.5296
7.2372 4.7584 3.6085
5.7570 1.1272 3.1499
5.7582 1.8155 0.2288
```

## Properties
Relative energy among the computed polymorphs = 0.0 meV per atom
Energy relative to the elements, uncorrected = -0.794 eV/atom
Magnetization = 0.00 μB per cell
E_tot = -22.3 eV per formula unit

[6]
Entry from Alexandria: a relaxed structure of SrTePd2 (PBE).

Cell and atoms, written as POSCAR:
```
SrTePd2
1.0
5.1040 0.0000 0.0000
0.0000 5.1040 0.0000
0.0000 0.0000 17.5353
Sr Te Pd
4 4 8
Cartesian
0.0000 0.0000 0.0000
0.0000 2.5520 4.3838
2.5520 0.0000 13.1515
2.5520 2.5520 8.7677
0.0000 0.0000 8.7677
0.0000 2.5520 13.1515
2.5520 0.0000 4.3838
2.5520 2.5520 0.0000
0.5330 1.2760 10.9596
1.2760 3.0850 15.3434
1.2760 4.5709 6.5757
2.0190 1.2760 2.1919
3.0850 3.8280 2.1919
3.8280 0.5330 6.5757
3.8280 2.0190 15.3434
4.5709 3.8280 10.9596
```

## Properties
Energy relative to the elements, uncorrected = -0.628 eV/atom
Magnetization = 0.00 μB per cell
E_tot = -17.7 eV per formula unit

[7]
Entry from Alexandria: a relaxed structure of Sr4Te8Pd3 (PBE).

Cell and atoms, written as POSCAR:
```
Sr4Te8Pd3
1.0
4.6549 0.0000 0.0000
0.0000 4.6549 0.0000
0.0000 0.0000 20.2855
Sr Te Pd
4 8 3
Cartesian
0.0000 2.3275 2.3688
0.0000 2.3275 12.7001
2.3275 0.0000 7.5854
2.3275 0.0000 17.9167
0.0000 0.0000 5.0135
0.0000 0.0000 15.2720
0.0000 2.3275 8.6967
0.0000 2.3275 18.9548
2.3275 0.0000 1.3306
2.3275 0.0000 11.5888
2.3275 2.3275 5.0228
2.3275 2.3275 15.2627
0.0000 0.0000 0.0000
0.0000 0.0000 10.1427
2.3275 2.3275 10.1427
```

## Properties
Energy relative to the elements, uncorrected = -0.956 eV/atom
Magnetization = 0.00 μB per cell
E_tot = -61.8 eV per formula unit

[8]
Entry from Alexandria: a relaxed structure of SrTePd (PBE).

Cell and atoms, written as POSCAR:
```
SrTePd
1.0
4.6735 0.0000 0.0000
-2.3368 4.0474 0.0000
0.0000 0.0000 8.5852
Sr Te Pd
2 2 2
Cartesian
0.0000 0.0000 0.0000
0.0000 0.0000 4.2926
0.0000 2.6983 2.1463
2.3368 1.3491 6.4389
0.0000 2.6983 6.4389
2.3368 1.3491 2.1463
```

## Properties
Energy relative to the elements, uncorrected = -1.155 eV/atom
Magnetization = 0.00 μB per cell
E_tot = -13.5 eV per formula unit

[9]
Entry from Alexandria: a relaxed structure of SrTePd (PBE).

Cell and atoms, written as POSCAR:
```
SrTePd
1.0
2.3813 1.3748 8.7334
-2.3813 1.3748 8.7334
0.0000 -2.7497 8.7334
Sr Te Pd
2 2 2
Cartesian
0.0000 0.0000 6.2716
0.0000 0.0000 19.9288
0.0000 0.0000 0.0000
0.0000 0.0000 13.1002
0.0000 0.0000 9.2847
0.0000 0.0000 16.9156
```

## Properties
Energy relative to the elements, uncorrected = -1.064 eV/atom
Magnetization = 0.00 μB per cell
E_tot = -13.2 eV per formula unit

[10]
Entry from Alexandria: a relaxed structure of SrTe2Pd2 (PBE).

Cell and atoms, written as POSCAR:
```
SrTe2Pd2
1.0
8.2635 0.0000 0.0000
0.0000 8.2635 0.0000
0.0000 0.0000 3.5298
Sr Te Pd
2 4 4
Cartesian
0.0000 0.0000 0.0000
4.1317 4.1317 0.0000
1.2640 2.8678 0.0000
2.8678 6.9995 0.0000
5.3957 1.2640 0.0000
6.9995 5.3957 0.0000
1.2712 5.4029 1.7649
2.8606 1.2712 1.7649
5.4029 6.9923 1.7649
6.9923 2.8606 1.7649
```

## Properties
Relative energy among the computed polymorphs = 328.0 meV per atom
Energy relative to the elements, uncorrected = -0.466 eV/atom
Magnetization = 0.00 μB per cell
E_tot = -20.7 eV per formula unit

[11]
Entry from Alexandria: a relaxed structure of Sr2TePd (PBE).

Cell and atoms, written as POSCAR:
```
Sr2TePd
1.0
3.9516 0.0000 0.0000
0.0000 3.9516 0.0000
0.0000 0.0000 7.7415
Sr Te Pd
2 1 1
Cartesian
0.0000 0.0000 1.8801
0.0000 0.0000 5.8614
1.9758 1.9758 3.8707
1.9758 1.9758 0.0000
```

## Properties
Energy relative to the elements, uncorrected = -0.975 eV/atom
Magnetization = 0.00 μB per cell
E_tot = -15.6 eV per formula unit

[12]
Entry from Alexandria: a relaxed structure of SrTePd (PBE).

Cell and atoms, written as POSCAR:
```
SrTePd
1.0
11.2871 0.0000 0.0000
0.0000 4.4887 0.0000
-1.1864 0.0000 6.6942
Sr Te Pd
4 4 4
Cartesian
0.0000 0.0000 0.0000
1.0985 2.2444 3.4791
5.6436 2.2444 0.0000
6.7421 0.0000 3.4791
2.4017 2.2444 0.3672
3.5213 0.0000 4.3475
8.0453 0.0000 0.3672
9.1649 2.2444 4.3475
3.4958 0.0000 1.5365
4.2916 2.2444 3.0376
9.1393 2.2444 1.5365
9.9352 0.0000 3.0376
```

## Properties
Energy relative to the elements, uncorrected = -0.993 eV/atom
Magnetization = 0.00 μB per cell
E_tot = -13.0 eV per formula unit

[13]
Entry from Alexandria: a relaxed structure of SrTePd (PBE).

Cell and atoms, written as POSCAR:
```
SrTePd
1.0
9.2974 0.0000 0.0000
0.0000 4.6432 0.0000
0.0000 0.0000 8.2046
Sr Te Pd
4 4 4
Cartesian
2.0843 1.1608 0.5083
2.5644 3.4824 4.6105
6.7330 1.1608 3.5940
7.2131 3.4824 7.6963
0.1486 3.4824 1.9986
4.5001 1.1608 6.1009
4.7973 3.4824 2.1037
9.1488 1.1608 6.2060
0.4402 1.1608 3.3734
4.2085 3.4824 7.4756
5.0889 1.1608 0.7289
8.8572 3.4824 4.8312
```

## Properties
Energy relative to the elements, uncorrected = -1.015 eV/atom
Magnetization = 0.00 μB per cell
E_tot = -13.1 eV per formula unit

[14]
Entry from Alexandria: a relaxed structure of SrTePd (PBE).

Cell and atoms, written as POSCAR:
```
SrTePd
1.0
2.3568 1.3607 9.1302
-2.3568 1.3607 9.1302
0.0000 -2.7214 9.1302
Sr Te Pd
2 2 2
Cartesian
0.0000 0.0000 0.0000
0.0000 0.0000 4.0455
0.0000 0.0000 15.7032
0.0000 0.0000 20.3150
0.0000 0.0000 7.0973
0.0000 0.0000 24.3097
```

## Properties
Energy relative to the elements, uncorrected = -1.035 eV/atom
Magnetization = 0.00 μB per cell
E_tot = -13.1 eV per formula unit

[15]
Entry from Alexandria: a relaxed structure of SrTe2Pd2 (PBE).

Cell and atoms, written as POSCAR:
```
SrTe2Pd2
1.0
4.4389 0.0000 0.0000
0.0000 4.4389 0.0000
0.0000 0.0000 12.8359
Sr Te Pd
2 4 4
Cartesian
0.0000 0.0000 0.0000
2.2194 2.2194 6.4180
0.0000 0.0000 4.7710
0.0000 0.0000 8.0649
2.2194 2.2194 1.6470
2.2194 2.2194 11.1889
0.0000 2.2194 3.2090
0.0000 2.2194 9.6269
2.2194 0.0000 3.2090
2.2194 0.0000 9.6269
```

## Properties
Relative energy among the computed polymorphs = 45.2 meV per atom
Energy relative to the elements, uncorrected = -0.749 eV/atom
Magnetization = 0.00 μB per cell
E_tot = -22.1 eV per formula unit

[16]
Entry from Alexandria: a relaxed structure of SrTePd (PBE).

Cell and atoms, written as POSCAR:
```
SrTePd
1.0
4.6811 0.0000 0.0000
0.0000 11.4555 0.0000
0.0000 0.0000 6.3026
Sr Te Pd
4 4 4
Cartesian
0.0000 1.1114 0.0000
0.0000 10.3440 3.1513
2.3406 4.6163 3.1513
2.3406 6.8391 0.0000
0.0000 4.2686 0.7937
0.0000 7.1869 3.9450
2.3406 1.4592 3.9450
2.3406 9.9963 0.7937
0.0000 2.2680 2.8553
0.0000 9.1874 6.0066
2.3406 3.4597 6.0066
2.3406 7.9958 2.8553
```

## Properties
Energy relative to the elements, uncorrected = -0.995 eV/atom
Magnetization = 0.00 μB per cell
E_tot = -13.0 eV per formula unit

[17]
Entry from Alexandria: a relaxed structure of SrTePd (PBE).

Cell and atoms, written as POSCAR:
```
SrTePd
1.0
4.6697 0.0000 0.0000
-2.3348 4.0440 0.0000
0.0000 0.0000 12.9157
Sr Te Pd
3 3 3
Cartesian
0.0000 0.0000 0.0000
0.0000 0.0000 4.3098
0.0000 0.0000 8.6059
0.0000 2.6960 6.4579
2.3348 1.3480 2.1977
2.3348 1.3480 10.7180
0.0000 2.6960 2.0927
0.0000 2.6960 10.8230
2.3348 1.3480 6.4579
```

## Properties
Energy relative to the elements, uncorrected = -1.153 eV/atom
Magnetization = 0.00 μB per cell
E_tot = -13.5 eV per formula unit

[18]
Entry from Alexandria: a relaxed structure of SrTe2Pd4 (PBE).

Cell and atoms, written as POSCAR:
```
SrTe2Pd4
1.0
8.1828 0.0000 0.0000
0.0000 8.1828 0.0000
0.0000 0.0000 4.3685
Sr Te Pd
2 4 8
Cartesian
0.0000 0.0000 0.0000
4.0914 4.0914 2.1842
1.7941 1.7941 2.1842
2.2972 5.8855 0.0000
5.8855 2.2972 0.0000
6.3886 6.3886 2.1842
0.8122 5.2633 2.1842
1.1720 3.2792 0.0000
2.9194 7.3706 2.1842
3.2792 1.1720 0.0000
4.9036 7.0108 0.0000
5.2633 0.8122 2.1842
7.0108 4.9036 0.0000
7.3706 2.9194 2.1842
```

## Properties
Relative energy among the computed polymorphs = 0.0 meV per atom
Energy relative to the elements, uncorrected = -0.650 eV/atom
Magnetization = 0.00 μB per cell
E_tot = -33.3 eV per formula unit

[19]
Entry from Alexandria: a relaxed structure of SrTePd (PBE).

Cell and atoms, written as POSCAR:
```
SrTePd
1.0
5.3198 0.0000 0.0000
0.0000 5.3198 0.0000
0.0000 0.0000 6.2132
Sr Te Pd
2 2 2
Cartesian
1.3299 1.3299 0.9766
3.9898 3.9898 5.2366
1.3299 3.9898 3.1066
3.9898 1.3299 3.1066
1.3299 1.3299 4.1258
3.9898 3.9898 2.0874
```

## Properties
Energy relative to the elements, uncorrected = -0.657 eV/atom
Magnetization = 0.00 μB per cell
E_tot = -12.0 eV per formula unit

[20]
Entry from Alexandria: a relaxed structure of SrTePd (PBE).

Cell and atoms, written as POSCAR:
```
SrTePd
1.0
5.5103 0.0000 0.0000
-2.7551 4.7720 0.0000
0.0000 0.0000 10.1475
Sr Te Pd
2 2 2
Cartesian
0.0000 3.1814 2.5369
2.7551 1.5907 7.6106
0.0000 0.0000 2.5369
0.0000 0.0000 7.6106
0.0000 0.0000 0.0000
0.0000 0.0000 5.0737
```

## Properties
Energy relative to the elements, uncorrected = -0.646 eV/atom
Magnetization = 0.00 μB per cell
E_tot = -12.0 eV per formula unit